Entry 1:
The following is a DFT calculation (GGA-PBE) of NaMnZn4 after structural relaxation.

abc: 5.179 5.179 5.179
angles: 60.00 60.00 60.00
Sites, in units of the cell vectors:
Zn 0.122 0.626 0.626
Na 0.250 0.250 0.250
Zn 0.626 0.122 0.626
Zn 0.626 0.626 0.122
Mn 0.000 0.000 0.000
Zn 0.626 0.626 0.626

crystal system: cubic
formation energy from the elements: 94 meV/atom
ρ: 5.74 g/cm³
energy: -2.503 eV/atom

***

Entry 2:
The following is a DFT calculation (GGA-PBE) of ScPW4 after structural relaxation.

abc: 5.323 5.323 5.323
angles: 60.00 60.00 60.00
Sites, in units of the cell vectors:
W 0.625 0.126 0.625
W 0.625 0.625 0.126
W 0.126 0.625 0.625
W 0.625 0.625 0.625
P 0.250 0.250 0.250
Sc 0.000 0.000 0.000

crystal system: cubic
formation energy from the elements: 523 meV/atom
ρ: 12.63 g/cm³
energy: -10.070 eV/atom

***

Entry 3:
The following is a DFT calculation (GGA-PBE) of Ca3Er2PuN6 after structural relaxation.

abc: 5.964 5.964 6.021
angles: 99.50 99.50 120.09
Sites, in units of the cell vectors:
Ca 0.500 0.500 0.500
Ca 0.833 0.167 0.500
N 0.235 0.235 0.788
Er 0.667 0.333 0.000
N 0.073 0.385 0.220
Er 0.333 0.667 0.000
N 0.385 0.073 0.220
N 0.927 0.615 0.780
N 0.615 0.927 0.780
Ca 0.167 0.833 0.500
Pu 0.000 0.000 0.000
N 0.765 0.765 0.212

crystal system: monoclinic
raw formation energy: -1530.6 kJ/mol of formula units
ρ: 7.43 g/cm³
energy: -7.940 eV/atom

***

Entry 4:
The following is a DFT calculation (GGA-PBE) of Na2Co2H after structural relaxation.

abc: 5.054 5.054 5.214
angles: 90.00 90.00 90.00
Sites, in units of the cell vectors:
Na 0.182 0.682 0.500
H 0.500 0.500 0.000
Co 0.682 0.182 0.000
Na 0.818 0.318 0.500
Co 0.818 0.682 0.000
Co 0.318 0.818 0.000
Na 0.682 0.818 0.500
H 0.000 0.000 0.000
Na 0.318 0.182 0.500
Co 0.182 0.318 0.000

crystal system: tetragonal
ρ: 4.11 g/cm³
energy: -3.493 eV/atom

***

Entry 5:
The following is a DFT calculation (GGA-PBE) of Tb3CeAg4 after structural relaxation.

abc: 3.621 3.621 15.081
angles: 90.00 90.00 90.00
Sites, in units of the cell vectors:
Ag 0.000 0.000 0.623
Tb 0.500 0.500 0.254
Ce 0.500 0.500 0.000
Ag 0.000 0.000 0.137
Tb 0.500 0.500 0.500
Ag 0.000 0.000 0.377
Tb 0.500 0.500 0.746
Ag 0.000 0.000 0.863

crystal system: tetragonal
formation energy from the elements: -249 meV/atom
ρ: 8.80 g/cm³
energy: -4.152 eV/atom

***

Entry 6:
The following is a DFT calculation (GGA-PBE) of NaZnAsF after structural relaxation.

abc: 3.127 4.318 5.830
angles: 90.00 90.00 90.00
Sites, in units of the cell vectors:
F 0.500 0.000 0.135
Zn 0.000 0.000 0.877
Na 0.500 0.500 0.248
As 0.000 0.500 0.692

crystal system: orthorhombic
raw formation energy: -441.0 kJ/mol of formula units
ρ: 3.85 g/cm³
energy: -3.421 eV/atom